# PBE with a Hubbard U MnVIO6, optimized geometry
# VASP energy	-6.26	eV/atom
# crystal system	trigonal
data_MnVIO6
_cell_length_a 5.2361
_cell_length_b 5.2361
_cell_length_c 9.2772
_cell_angle_alpha 90.00
_cell_angle_beta 90.00
_cell_angle_gamma 120.00
_space_group_name_H-M_alt 'P -3 1 c'
_space_group_IT_number 163
_space_group_name_Hall '-P 3 2c'
loop_
_atom_site_label
_atom_site_fract_x
_atom_site_fract_y
_atom_site_fract_z
Mn1 0.0000 0.0000 0.0000
V1 0.3333 0.6667 0.2500
I1 0.3333 0.6667 0.7500
O1 0.0226 0.3665 0.1355